(1)
DFT (PBE) results for Tl2CrAu after structural relaxation.

As for the total magnetic moment: 4.18 μB per formula unit. The density of states at the Fermi level is 0.39 states/eV per atom. The formation energy comes out at 1.407 eV/f.u. The energy relative to the lowest polymorph listed for this composition is 104 meV per atom. As for the electronic total energy: -32.452 eV for the cell shown.

The space group is I-4m2 (No. 119) and the conventional cell measures 4.419, 4.419 and 9.059 Å, with angles of 90.00, 90.00 and 90.00 degrees. The distinct sites, in fractional coordinates, are Tl at (0.000, 0.000, 0.000), Tl at (0.000, 0.500, 0.250), Cr at (0.000, 0.000, 0.500) and Au at (0.000, 0.500, 0.750).

(2)
DFT (PBE) results for BaMg3Ga2 after structural relaxation.

As for the total magnetic moment: 0.00 μB per formula unit. The density of states at the Fermi level is 0.52 states/eV per atom. The formation energy comes out at -1.692 eV/f.u. The energy relative to the lowest polymorph listed for this composition is 0 meV per atom. As for the electronic total energy: -57.808 eV for the cell shown.

The space group is C2/m (No. 12) and the conventional cell measures 17.074, 4.631 and 8.651 Å, with angles of 90.00, 114.34 and 90.00 degrees. The distinct sites, in fractional coordinates, are Ba at (0.153, 0.000, 0.073), Mg at (0.039, 0.000, 0.360), Mg at (0.093, 0.500, 0.683), Mg at (0.181, 0.500, 0.444), Ga at (0.020, 0.500, 0.158) and Ga at (0.186, 0.000, 0.677).

(3)
DFT (PBE) results for Ho3Er5Sc2 after structural relaxation.

As for the total magnetic moment: 0.00 μB per formula unit. The density of states at the Fermi level is 1.45 states/eV per atom. The formation energy comes out at 0.391 eV/f.u. As for the electronic total energy: -97.640 eV for the cell shown.

The space group is P-1 (No. 2) and the conventional cell measures 9.151, 9.153 and 9.164 Å, with angles of 106.59, 106.61 and 115.33 degrees. The distinct sites, in fractional coordinates, are Ho at (0.078, 0.026, 0.350), Ho at (0.275, 0.427, 0.952), Ho at (0.324, 0.772, 0.850), Er at (0.024, 0.675, 0.449), Er at (0.128, 0.378, 0.250), Er at (0.227, 0.075, 0.052), Er at (0.378, 0.128, 0.750), Er at (0.474, 0.823, 0.548), Sc at (0.173, 0.723, 0.149) and Sc at (0.426, 0.476, 0.648).

(4)
DFT (PBE) results for CaHgPb2 after structural relaxation.

As for the total magnetic moment: 0.00 μB per formula unit. The density of states at the Fermi level is 0.07 states/eV per atom. The formation energy comes out at -1.226 eV/f.u. As for the electronic total energy: -43.785 eV for the cell shown.

The space group is F-43m (No. 216) and the conventional cell measures 7.803, 7.803 and 7.803 Å, with angles of 90.00, 90.00 and 90.00 degrees. The distinct sites, in fractional coordinates, are Ca at (0.000, 0.000, 0.000), Hg at (0.250, 0.250, 0.250), Pb at (0.000, 0.000, 0.500) and Pb at (0.250, 0.250, 0.750).